Material: PrGaAu2
Method: DFT, PBE
State: optimized geometry

The space group is P4/mmm (No. 123) and the conventional cell measures 3.711, 3.711 and 6.528 Å, with angles of 90.00, 90.00 and 90.00 degrees. The distinct sites, in fractional coordinates, are Pr at (0.000, 0.000, 0.000), Ga at (0.000, 0.000, 0.500) and Au at (0.500, 0.500, 0.273).

For the mass density, the calculation gives 11.17 g/cm3. The calculation puts the density of states at the Fermi level at 2.785 states/eV/cell. Its energy of formation is -0.485 eV/atom. As for the magnetization: 0.00 μB per formula unit.